No. 1
## LaZr4Pb (GGA-PBE)

Data for a relaxed LaZr4Pb crystal.

POSCAR file:
```
LaZr4Pb
1.0
0.0000 4.2679 4.2679
4.2679 0.0000 4.2679
4.2679 4.2679 0.0000
La Zr Pb
1 4 1
Cartesian
0.0000 0.0000 0.0000 La
3.1778 3.1778 3.1778 Zr
5.3580 5.3580 3.1778 Zr
5.3580 3.1778 5.3580 Zr
3.1778 5.3580 5.3580 Zr
6.4018 6.4018 6.4018 Pb
```

Calculated density, Mg/m³: 7.59
SG: F-43m (216)
Electronic total energy, eV/atom: -6.958
Magnetization, μB per formula unit: 0.000


No. 2
## InCuRh (GGA-PBE)

Data for a relaxed InCuRh crystal.

POSCAR file:
```
InCuRh
1.0
4.2998 0.0000 0.0000
-2.1499 3.7238 0.0000
0.0000 0.0000 2.9687
In Cu Rh
1 1 1
Cartesian
0.0000 0.0000 0.0000 In
0.0000 2.4825 2.2147 Cu
2.1499 1.2413 1.2552 Rh
```

Calculated density, Mg/m³: 9.83
SG: P3m1 (156)
Magnetization, μB per formula unit: 0.000
Energy relative to the lowest polymorph listed for this composition, meV per atom: 38


No. 3
## Cs2CaCl2F2 (GGA-PBE)

Data for a relaxed Cs2CaCl2F2 crystal.

POSCAR file:
```
Cs2CaCl2F2
1.0
-2.3760 2.3760 8.7125
2.3760 -2.3760 8.7125
2.3760 2.3760 -8.7125
Cs Ca Cl F
2 1 2 2
Cartesian
0.0000 0.0000 2.3350 Cs
0.0000 0.0000 15.0900 Cs
0.0000 0.0000 8.7125 Ca
0.0000 0.0000 5.9387 Cl
0.0000 0.0000 11.4863 Cl
2.3760 0.0000 0.0000 F
0.0000 2.3760 0.0000 F
```

Calculated density, Mg/m³: 3.50
SG: I4/mmm (139)
E_form (uncorrected), eV per atom: -2.74
Magnetization, μB per formula unit: 0.000


No. 4
## KRe2Tc (GGA-PBE)

Data for a relaxed KRe2Tc crystal.

POSCAR file:
```
KRe2Tc
1.0
3.7597 0.0000 0.0000
0.0000 3.7597 0.0000
0.0000 0.0000 4.9036
K Re Tc
1 2 1
Cartesian
0.0000 0.0000 0.0000 K
0.0000 1.8798 2.4518 Re
1.8798 0.0000 2.4518 Re
1.8798 1.8798 0.0000 Tc
```

Calculated density, Mg/m³: 12.21
SG: P4/mmm (123)
Magnetization, μB per formula unit: 0.001
Energy relative to the lowest polymorph listed for this composition, meV per atom: 1230


Please write out number 3 again, unchanged.
## Cs2CaCl2F2 (GGA-PBE)

Data for a relaxed Cs2CaCl2F2 crystal.

POSCAR file:
```
Cs2CaCl2F2
1.0
-2.3760 2.3760 8.7125
2.3760 -2.3760 8.7125
2.3760 2.3760 -8.7125
Cs Ca Cl F
2 1 2 2
Cartesian
0.0000 0.0000 2.3350 Cs
0.0000 0.0000 15.0900 Cs
0.0000 0.0000 8.7125 Ca
0.0000 0.0000 5.9387 Cl
0.0000 0.0000 11.4863 Cl
2.3760 0.0000 0.0000 F
0.0000 2.3760 0.0000 F
```

Calculated density, Mg/m³: 3.50
SG: I4/mmm (139)
E_form (uncorrected), eV per atom: -2.74
Magnetization, μB per formula unit: 0.000


Repeat the third record exactly.
## Cs2CaCl2F2 (GGA-PBE)

Data for a relaxed Cs2CaCl2F2 crystal.

POSCAR file:
```
Cs2CaCl2F2
1.0
-2.3760 2.3760 8.7125
2.3760 -2.3760 8.7125
2.3760 2.3760 -8.7125
Cs Ca Cl F
2 1 2 2
Cartesian
0.0000 0.0000 2.3350 Cs
0.0000 0.0000 15.0900 Cs
0.0000 0.0000 8.7125 Ca
0.0000 0.0000 5.9387 Cl
0.0000 0.0000 11.4863 Cl
2.3760 0.0000 0.0000 F
0.0000 2.3760 0.0000 F
```

Calculated density, Mg/m³: 3.50
SG: I4/mmm (139)
E_form (uncorrected), eV per atom: -2.74
Magnetization, μB per formula unit: 0.000